[1]
First-principles (PBE) data for CdInAg2F6 after structural relaxation, as listed in Alexandria.

Summary:
Total energy, eV/f.u.: -37.8
Theoretical density, Mg/m³: 5.84
Space group: P2_1/c
ΔE_f (raw), eV/atom: -1.721

abc: 6.015 6.137 8.576
angles: 90.00 89.58 90.00
Element x y z (fractional)
F (0.886, 0.533, 0.240)
Ag (0.018, 0.947, 0.251)
Ag (0.518, 0.553, 0.751)
F (0.312, 0.710, 0.440)
F (0.688, 0.290, 0.560)
F (0.188, 0.210, 0.060)
In (0.000, 0.500, 0.000)
Ag (0.982, 0.053, 0.749)
F (0.791, 0.807, 0.557)
F (0.291, 0.693, 0.057)
In (0.500, 0.000, 0.500)
F (0.812, 0.790, 0.940)
Cd (0.500, 0.000, 0.000)
Cd (0.000, 0.500, 0.500)
F (0.114, 0.467, 0.760)
Ag (0.482, 0.447, 0.249)
F (0.614, 0.033, 0.260)
F (0.709, 0.307, 0.943)
F (0.209, 0.193, 0.443)
F (0.386, 0.967, 0.740)



[2]
First-principles (PBE) data for Sr2TlHg after structural relaxation, as listed in Alexandria.

Summary:
Total energy, eV/f.u.: -8.0
Theoretical density, Mg/m³: 7.21
Formation energy from the elements, eV/atom: -0.489
Space group: Fm-3m

abc: 5.739 5.739 5.739
angles: 60.00 60.00 60.00
Element x y z (fractional)
Sr (0.000, 0.000, 0.000)
Hg (0.250, 0.250, 0.250)
Tl (0.750, 0.750, 0.750)
Sr (0.500, 0.500, 0.500)



[3]
First-principles (PBE) data for Nb2HF after structural relaxation, as listed in Alexandria.

Summary:
Total energy, eV/f.u.: -27.2
Theoretical density, Mg/m³: 6.51
Space group: I-42d

abc: 4.666 4.666 5.841
angles: 66.45 66.45 90.00
Element x y z (fractional)
H (0.500, 0.500, 0.000)
Nb (0.375, 0.431, 0.750)
H (0.250, 0.750, 0.500)
Nb (0.181, 0.625, 0.250)
Nb (0.875, 0.819, 0.750)
F (0.750, 0.250, 0.500)
F (0.000, 0.000, 0.000)
Nb (0.569, 0.125, 0.250)



[4]
First-principles (PBE) data for RbScICl2 after structural relaxation, as listed in Alexandria.

Summary:
Total energy, eV/f.u.: -20.7
Theoretical density, Mg/m³: 3.39
Space group: P4/mmm
ΔE_f (raw), eV/atom: -1.626

abc: 5.176 5.176 6.002
angles: 90.00 90.00 90.00
Element x y z (fractional)
Cl (0.000, 0.500, 0.000)
Sc (0.000, 0.000, 0.000)
Rb (0.500, 0.500, 0.500)
Cl (0.500, 0.000, 0.000)
I (0.000, 0.000, 0.500)



[5]
First-principles (PBE) data for Ba12Na7Ir after structural relaxation, as listed in Alexandria.

Summary:
Total energy, eV/f.u.: -41.4
Theoretical density, Mg/m³: 3.12
Formation energy from the elements, eV/atom: -0.011
Space group: R-3

abc: 10.907 11.229 11.229
angles: 69.95 71.11 108.89
Element x y z (fractional)
Na (0.000, 0.614, 0.869)
Na (0.500, 0.000, 0.000)
Ba (0.232, 0.813, 0.469)
Ba (0.419, 0.718, 0.813)
Ba (0.206, 0.185, 0.077)
Na (0.000, 0.386, 0.131)
Ba (0.717, 0.923, 0.262)
Ba (0.768, 0.187, 0.531)
Ba (0.979, 0.262, 0.815)
Na (0.131, 0.131, 0.483)
Ba (0.701, 0.469, 0.718)
Na (0.614, 0.483, 0.386)
Ba (0.021, 0.738, 0.185)
Ba (0.581, 0.282, 0.187)
Na (0.386, 0.517, 0.614)
Ba (0.283, 0.077, 0.738)
Ir (0.000, 0.000, 0.000)
Na (0.869, 0.869, 0.517)
Ba (0.299, 0.531, 0.282)
Ba (0.794, 0.815, 0.923)



[6]
First-principles (PBE) data for DyLuIrPt after structural relaxation, as listed in Alexandria.

Summary:
Total energy, eV/f.u.: -28.3
Theoretical density, Mg/m³: 14.99
Formation energy from the elements, eV/atom: -1.071
Space group: F-43m

abc: 4.842 4.842 4.842
angles: 60.00 60.00 60.00
Element x y z (fractional)
Dy (0.000, 0.000, 0.000)
Pt (0.250, 0.250, 0.250)
Lu (0.500, 0.500, 0.500)
Ir (0.750, 0.750, 0.750)



[7]
First-principles (PBE) data for AgSnS2Cl after structural relaxation, as listed in Alexandria.

Summary:
Total energy, eV/f.u.: -16.2
Theoretical density, Mg/m³: 4.60
Space group: P4/mmm
ΔE_f (raw), eV/atom: 0.146

abc: 4.891 4.891 4.919
angles: 90.00 90.00 90.00
Element x y z (fractional)
S (0.500, 0.000, 0.000)
Ag (0.000, 0.000, 0.000)
Sn (0.500, 0.500, 0.500)
Cl (0.000, 0.000, 0.500)
S (0.000, 0.500, 0.000)



[8]
First-principles (PBE) data for InSiRuO after structural relaxation, as listed in Alexandria.

Summary:
Total energy, eV/f.u.: -26.0
Theoretical density, Mg/m³: 7.27
Space group: P3m1
ΔE_f (raw), eV/atom: -0.892

abc: 3.156 3.156 6.884
angles: 90.00 90.00 120.00
Element x y z (fractional)
Ru (0.667, 0.333, 0.698)
In (0.333, 0.667, 0.379)
O (0.000, 0.000, 0.156)
Si (0.000, 0.000, 0.915)